(1)
DFT (GGA-PBE) results for a geometry-optimized Er6Al2Pb structure.

```
data_Er6Al2Pb
_chemical_formula_sum 'Er12 Al4 Pb2'
_symmetry_space_group_name_H-M 'P 1'
_symmetry_Int_Tables_number 1
_symmetry_space_group_name_Hall 'P 1'
_cell_length_a 8.661
_cell_length_b 8.661
_cell_length_c 8.661
_cell_angle_alpha 113.07
_cell_angle_beta 111.78
_cell_angle_gamma 103.72
loop_
_atom_site_label
_atom_site_fract_x
_atom_site_fract_y
_atom_site_fract_z
_atom_site_occupancy
Er1 0.025 0.821 0.204 1
Er2 0.242 0.536 0.295 1
Er3 0.242 0.947 0.705 1
Er4 0.277 0.314 0.591 1
Er5 0.277 0.686 0.964 1
Er6 0.384 0.179 0.204 1
Er7 0.616 0.821 0.796 1
Er8 0.723 0.314 0.036 1
Er9 0.723 0.686 0.409 1
Er10 0.758 0.053 0.295 1
Er11 0.758 0.464 0.705 1
Er12 0.975 0.179 0.796 1
Al1 0.000 0.142 0.142 1
Al2 0.000 0.858 0.858 1
Al3 0.380 0.380 0.000 1
Al4 0.620 0.620 0.000 1
Pb1 0.000 0.500 0.500 1
Pb2 0.500 0.000 0.500 1
```

## Properties
Uncorrected energy (eV/atom): -4.5887
Calculated volume (Å³/atom): 27.573
ΔE_f (eV/atom): -0.303

=====

(2)
DFT (GGA-PBE) results for a geometry-optimized Mg2Zn2Cd structure.

```
data_Mg2Zn2Cd
_chemical_formula_sum 'Mg2 Zn2 Cd1'
_symmetry_space_group_name_H-M 'P 1'
_symmetry_Int_Tables_number 1
_symmetry_space_group_name_Hall 'P 1'
_cell_length_a 7.834
_cell_length_b 7.834
_cell_length_c 7.834
_cell_angle_alpha 152.22
_cell_angle_beta 152.22
_cell_angle_gamma 39.70
loop_
_atom_site_label
_atom_site_fract_x
_atom_site_fract_y
_atom_site_fract_z
_atom_site_occupancy
Mg1 0.104 0.104 0.000 1
Mg2 0.896 0.896 0.000 1
Zn1 0.250 0.750 0.500 1
Zn2 0.750 0.250 0.500 1
Cd1 0.500 0.500 0.000 1
```

## Properties
Uncorrected energy (eV/atom): -1.2797
Energy relative to the lowest polymorph listed for this composition (meV/atom): 135
Calculated volume (Å³/atom): 20.851
ΔE_f (eV/atom): 0.051

=====

(3)
DFT (GGA-PBE) results for a geometry-optimized Ho2Er4S9 structure.

```
data_Ho2Er4S9
_chemical_formula_sum 'Ho4 Er8 S18'
_symmetry_space_group_name_H-M 'P 1'
_symmetry_Int_Tables_number 1
_symmetry_space_group_name_Hall 'P 1'
_cell_length_a 6.852
_cell_length_b 6.852
_cell_length_c 18.412
_cell_angle_alpha 90.00
_cell_angle_beta 90.00
_cell_angle_gamma 120.00
loop_
_atom_site_label
_atom_site_fract_x
_atom_site_fract_y
_atom_site_fract_z
_atom_site_occupancy
Ho1 0.000 0.000 0.150 1
Ho2 0.000 0.000 0.350 1
Ho3 0.000 0.000 0.650 1
Ho4 0.000 0.000 0.850 1
Er1 0.333 0.667 0.183 1
Er2 0.333 0.667 0.484 1
Er3 0.333 0.667 0.683 1
Er4 0.333 0.667 0.984 1
Er5 0.667 0.333 0.016 1
Er6 0.667 0.333 0.317 1
Er7 0.667 0.333 0.516 1
Er8 0.667 0.333 0.817 1
S1 0.000 0.303 0.250 1
S2 0.000 0.697 0.750 1
S3 0.031 0.366 0.583 1
S4 0.031 0.665 0.083 1
S5 0.303 0.000 0.250 1
S6 0.303 0.303 0.750 1
S7 0.335 0.366 0.083 1
S8 0.335 0.969 0.583 1
S9 0.366 0.031 0.917 1
S10 0.366 0.335 0.417 1
S11 0.634 0.665 0.583 1
S12 0.634 0.969 0.083 1
S13 0.665 0.031 0.417 1
S14 0.665 0.634 0.917 1
S15 0.697 0.000 0.750 1
S16 0.697 0.697 0.250 1
S17 0.969 0.335 0.917 1
S18 0.969 0.634 0.417 1
```

## Properties
Uncorrected energy (eV/atom): -6.3672
Raw formation energy (eV per atom): -2.06
Calculated volume (Å³/atom): 24.955

=====

(4)
DFT (GGA-PBE) results for a geometry-optimized HoEr2ScRh4 structure.

```
data_HoEr2ScRh4
_chemical_formula_sum 'Ho1 Er2 Sc1 Rh4'
_symmetry_space_group_name_H-M 'P 1'
_symmetry_Int_Tables_number 1
_symmetry_space_group_name_Hall 'P 1'
_cell_length_a 8.239
_cell_length_b 8.239
_cell_length_c 8.239
_cell_angle_alpha 33.48
_cell_angle_beta 33.48
_cell_angle_gamma 33.48
loop_
_atom_site_label
_atom_site_fract_x
_atom_site_fract_y
_atom_site_fract_z
_atom_site_occupancy
Ho1 0.000 0.000 0.000 1
Er1 0.248 0.248 0.248 1
Er2 0.752 0.752 0.752 1
Sc1 0.500 0.500 0.500 1
Rh1 0.127 0.127 0.127 1
Rh2 0.377 0.377 0.377 1
Rh3 0.623 0.623 0.623 1
Rh4 0.873 0.873 0.873 1
```

## Properties
Uncorrected energy (eV/atom): -7.1220
Calculated volume (Å³/atom): 18.952
ΔE_f (eV/atom): -0.942

=====

(5)
DFT (GGA-PBE) results for a geometry-optimized RbSmTiS4 structure.

```
data_RbSmTiS4
_chemical_formula_sum 'Rb2 Sm2 Ti2 S8'
_symmetry_space_group_name_H-M 'P 1'
_symmetry_Int_Tables_number 1
_symmetry_space_group_name_Hall 'P 1'
_cell_length_a 6.734
_cell_length_b 6.794
_cell_length_c 9.180
_cell_angle_alpha 90.00
_cell_angle_beta 107.98
_cell_angle_gamma 90.00
loop_
_atom_site_label
_atom_site_fract_x
_atom_site_fract_y
_atom_site_fract_z
_atom_site_occupancy
Rb1 0.228 0.250 0.437 1
Rb2 0.772 0.750 0.563 1
Sm1 0.284 0.250 0.952 1
Sm2 0.716 0.750 0.048 1
Ti1 0.268 0.750 0.168 1
Ti2 0.732 0.250 0.832 1
S1 0.061 0.750 0.927 1
S2 0.063 0.750 0.320 1
S3 0.500 0.003 0.202 1
S4 0.500 0.497 0.202 1
S5 0.500 0.503 0.798 1
S6 0.500 0.997 0.798 1
S7 0.937 0.250 0.680 1
S8 0.939 0.250 0.073 1
```

## Properties
Uncorrected energy (eV/atom): -5.9074
Raw formation energy (eV per atom): -1.61
Calculated volume (Å³/atom): 28.533

=====

(6)
DFT (GGA-PBE) results for a geometry-optimized Rb2MgS2 structure.

```
data_Rb2MgS2
_chemical_formula_sum 'Rb2 Mg1 S2'
_symmetry_space_group_name_H-M 'P 1'
_symmetry_Int_Tables_number 1
_symmetry_space_group_name_Hall 'P 1'
_cell_length_a 12.113
_cell_length_b 12.113
_cell_length_c 12.113
_cell_angle_alpha 161.80
_cell_angle_beta 161.80
_cell_angle_gamma 25.85
loop_
_atom_site_label
_atom_site_fract_x
_atom_site_fract_y
_atom_site_fract_z
_atom_site_occupancy
Rb1 0.139 0.139 0.000 1
Rb2 0.861 0.861 0.000 1
Mg1 0.500 0.500 0.000 1
S1 0.250 0.750 0.500 1
S2 0.750 0.250 0.500 1
```

## Properties
Uncorrected energy (eV/atom): -2.4297
Raw formation energy (eV per atom): -0.07
Calculated volume (Å³/atom): 34.677

=====

(7)
DFT (GGA-PBE) results for a geometry-optimized TiAlPC2 structure.

```
data_TiAlPC2
_chemical_formula_sum 'Ti1 Al1 P1 C2'
_symmetry_space_group_name_H-M 'P 1'
_symmetry_Int_Tables_number 1
_symmetry_space_group_name_Hall 'P 1'
_cell_length_a 3.910
_cell_length_b 3.910
_cell_length_c 5.512
_cell_angle_alpha 90.00
_cell_angle_beta 90.00
_cell_angle_gamma 90.00
loop_
_atom_site_label
_atom_site_fract_x
_atom_site_fract_y
_atom_site_fract_z
_atom_site_occupancy
Ti1 0.000 0.000 0.000 1
Al1 0.000 0.000 0.500 1
P1 0.500 0.500 0.500 1
C1 0.000 0.500 0.000 1
C2 0.500 0.000 0.000 1
```

## Properties
Uncorrected energy (eV/atom): -5.4220
Calculated volume (Å³/atom): 16.853
ΔE_f (eV/atom): 1.677

=====

(8)
DFT (GGA-PBE) results for a geometry-optimized TaCd structure.

```
data_TaCd
_chemical_formula_sum 'Ta2 Cd2'
_symmetry_space_group_name_H-M 'P 1'
_symmetry_Int_Tables_number 1
_symmetry_space_group_name_Hall 'P 1'
_cell_length_a 4.156
_cell_length_b 4.156
_cell_length_c 5.814
_cell_angle_alpha 90.00
_cell_angle_beta 90.00
_cell_angle_gamma 120.00
loop_
_atom_site_label
_atom_site_fract_x
_atom_site_fract_y
_atom_site_fract_z
_atom_site_occupancy
Ta1 0.333 0.667 0.250 1
Ta2 0.667 0.333 0.750 1
Cd1 0.000 0.000 0.000 1
Cd2 0.000 0.000 0.500 1
```

## Properties
Uncorrected energy (eV/atom): -5.1168
Calculated volume (Å³/atom): 21.738
ΔE_f (eV/atom): 1.267